Entry P
Computed, not measured: Pm4Tl2Hg3 after structural relaxation at the PBE level of DFT.

Total magnetic moment: 0.3 μB/f.u.
Calculated density: 10.60 g cm⁻³

Cell: 10.6802 5.0675 9.7217 Å, 90.00 108.64 90.00°
Last column: nearest neighbours and their distance in Å.
Space group C2/m (No. 12)
Inequivalent atoms, fractional coordinates:
1 Pm 0.0518 0.0000 0.3446 x4  4 Hg 3.10-3.25, 2 Tl 3.31
2 Pm 0.1495 0.5000 0.8928 x4  4 Hg 3.17-3.55, 3 Tl 3.32-3.47, 2 Pm 3.54
3 Tl 0.2058 0.5000 0.2485 x4  3 Hg 3.24-3.35, 7 Pm 3.31-3.60
4 Hg 0.0000 0.0000 0.0000 x2  8 Pm 3.22-3.55
5 Hg 0.1419 0.5000 0.5638 x4  1 Hg 2.88, 2 Pm 3.10-3.17

Entry Q
Computed, not measured: Pm4Tl2Hg3 after structural relaxation at the PBE level of DFT.

Total magnetic moment: 0.0 μB/f.u.
Calculated density: 9.71 g cm⁻³

Cell: 7.3757 16.0615 9.1878 Å, 90.00 90.00 90.00°
Last column: nearest neighbours and their distance in Å.
Space group Cmce (No. 64)
Inequivalent atoms, fractional coordinates:
1 Pm 0.0000 0.1887 0.0442 x8  5 Hg 3.04-3.31, 1 Tl 3.32
2 Pm 0.2500 0.0264 0.7500 x8  3 Hg 2.98-3.08
3 Tl 0.0000 0.1132 0.4395 x8  5 Pm 3.32-3.67, 2 Hg 3.71
4 Hg 0.0000 0.0000 0.0000 x4  6 Pm 2.98-3.06
5 Hg 0.2500 0.2180 0.7500 x8  5 Pm 3.04-3.31

Which one is most stable, and which one is least stable? entry P is the most stable of them, while entry Q is the least stable.

Entry P
Computed, not measured: Pm2TlHg8 after structural relaxation at the PBE level of DFT.

Total magnetic moment: 0.0 μB/f.u.
Calculated density: 11.97 g cm⁻³

Cell: 17.5766 4.8964 7.1640 Å, 90.00 109.22 90.00°
Last column: nearest neighbours and their distance in Å.
Space group C2/m (No. 12)
Inequivalent atoms, fractional coordinates:
1 Pm 0.2112 0.0000 0.1844 x4  10 Hg 3.18-3.39
2 Tl 0.0000 0.5000 0.5000 x2  8 Hg 3.06-3.31
3 Hg 0.0275 0.0000 0.2182 x4  3 Hg 2.95-3.26
4 Hg 0.1156 0.5000 0.9259 x4  1 Tl 3.06, 5 Hg 3.15-3.42, 3 Pm 3.19-3.39
5 Hg 0.1541 0.5000 0.3880 x4  1 Tl 3.07, 5 Hg 3.15-3.26, 3 Pm 3.18-3.20
6 Hg 0.1599 0.0000 0.6920 x4  7 Hg 3.20-3.56, 3 Pm 3.25-3.34

Entry Q
Computed, not measured: Pm2TlHg8 after structural relaxation at the PBE level of DFT.

Total magnetic moment: 0.0 μB/f.u.
Calculated density: 12.37 g cm⁻³

Cell: 4.8885 7.4242 8.5544 Å, 108.08 106.45 90.03°
Last column: nearest neighbours and their distance in Å.
Space group P1 (No. 1)
Inequivalent atoms, fractional coordinates:
1 Pm 0.0000 0.0000 0.0000 x1  12 Hg 3.21-3.42
2 Pm 0.2971 0.3836 0.5931 x1  10 Hg 3.26-3.43, 2 Tl 3.45-3.46
3 Tl 0.7433 0.6540 0.4854 x1  10 Hg 3.19-3.55, 2 Pm 3.45-3.46
4 Hg 0.1108 0.4614 0.2207 x1  6 Hg 3.13-3.38, 2 Tl 3.27-3.28, 2 Pm 3.29-3.32
5 Hg 0.1806 0.9165 0.3602 x1  8 Hg 3.16-3.36, 2 Pm 3.21-3.37, 2 Tl 3.48
6 Hg 0.3624 0.8574 0.7250 x1  5 Hg 3.14-3.34, 2 Tl 3.19, 3 Pm 3.26-3.33
7 Hg 0.4787 0.2872 0.9569 x1  9 Hg 3.12-3.48, 3 Pm 3.29-3.34
8 Hg 0.5425 0.7416 0.0855 x1  7 Hg 3.12-3.34, 2 Pm 3.32
9 Hg 0.6489 0.1856 0.2975 x1  7 Hg 3.08-3.38, 1 Tl 3.32, 4 Pm 3.41-3.43
10 Hg 0.8222 0.1094 0.6443 x1  6 Hg 3.08-3.36, 1 Tl 3.21, 3 Pm 3.27-3.29
11 Hg 0.9334 0.5370 0.8662 x1  6 Hg 3.11-3.30, 3 Pm 3.25-3.26

Which one is most stable, and which one is least stable? entry Q is the most stable of them, while entry P is the least stable.

Entry P
Computed, not measured: PmTmHg after structural relaxation at the PBE level of DFT.

Total magnetic moment: 0.0 μB/f.u.
Calculated density: 10.04 g cm⁻³

Cell: 8.8278 8.8278 3.7846 Å, 90.00 90.00 120.00°
Last column: nearest neighbours and their distance in Å.
Space group P-62m (No. 189)
Inequivalent atoms, fractional coordinates:
1 Pm 0.0000 0.6097 0.0000 x3  5 Hg 3.32-3.45, 6 Tm 3.51-3.60
2 Tm 0.0000 0.2750 0.5000 x3  4 Hg 3.08-3.23
3 Hg 0.0000 0.0000 0.0000 x1  6 Tm 3.08, 3 Pm 3.45
4 Hg 0.3333 0.6667 0.5000 x2  3 Tm 3.23, 6 Pm 3.32

Entry Q
Computed, not measured: PmTmHg after structural relaxation at the PBE level of DFT.

Total magnetic moment: 0.8 μB/f.u.
Calculated density: 10.02 g cm⁻³

Cell: 3.6381 3.6381 12.8890 Å, 90.00 90.00 90.00°
Last column: nearest neighbours and their distance in Å.
Space group I4mm (No. 107)
Inequivalent atoms, fractional coordinates:
1 Pm 0.0000 0.0000 0.0000 x2  4 Hg 3.36, 4 Tm 3.57, 4 Pm 3.64
2 Tm 0.0000 0.0000 0.6921 x2  4 Hg 3.14
3 Hg 0.0000 0.0000 0.3319 x2  4 Tm 3.14, 4 Pm 3.36

Entry R
Computed, not measured: PmTmHg after structural relaxation at the PBE level of DFT.

Total magnetic moment: 0.0 μB/f.u.
Calculated density: 8.93 g cm⁻³

Cell: 7.2612 7.2612 7.2612 Å, 90.00 90.00 90.00°
Last column: nearest neighbours and their distance in Å.
Space group F-43m (No. 216)
Inequivalent atoms, fractional coordinates:
1 Pm 0.0000 0.0000 0.0000 x4  4 Hg 3.14
2 Tm 0.0000 0.0000 0.5000 x4  4 Hg 3.14
3 Hg 0.2500 0.2500 0.7500 x4  4 Pm 3.14, 4 Tm 3.14

Entry S
Computed, not measured: PmTmHg after structural relaxation at the PBE level of DFT.

Total magnetic moment: 0.0 μB/f.u.
Calculated density: 9.64 g cm⁻³

Cell: 3.5677 19.0857 5.2079 Å, 90.00 90.00 90.00°
Last column: nearest neighbours and their distance in Å.
Space group Cmcm (No. 63)
Inequivalent atoms, fractional coordinates:
1 Pm 0.0000 0.1294 0.2500 x4  5 Hg 3.24-3.44, 4 Tm 3.56, 2 Pm 3.57
2 Tm 0.0000 0.4566 0.2500 x4  1 Hg 3.01, 2 Tm 3.09
3 Hg 0.0000 0.2990 0.2500 x4  1 Tm 3.01, 1 Pm 3.24

Which one is most stable, and which one is least stable? entry Q is the most stable of them, while entry R is the least stable.

Entry P
Computed, not measured: Pm2TmHg4 after structural relaxation at the PBE level of DFT.

Total magnetic moment: 0.0 μB/f.u.
Calculated density: 8.65 g cm⁻³

Cell: 5.5815 5.5815 15.5515 Å, 90.00 90.00 90.00°
Last column: nearest neighbours and their distance in Å.
Space group I4/mmm (No. 139)
Inequivalent atoms, fractional coordinates:
1 Pm 0.0000 0.0000 0.1072 x4  5 Hg 3.12-3.25, 1 Pm 3.33
2 Tm 0.0000 0.0000 0.5000 x2  6 Hg 2.79-2.99
3 Hg 0.0000 0.0000 0.3080 x4  1 Tm 2.99, 1 Pm 3.12
4 Hg 0.0000 0.5000 0.0000 x4  2 Tm 2.79

Entry Q
Computed, not measured: Pm2TmHg4 after structural relaxation at the PBE level of DFT.

Total magnetic moment: 0.0 μB/f.u.
Calculated density: 10.35 g cm⁻³

Cell: 5.1149 5.1149 26.7921 Å, 90.00 90.00 120.00°
Last column: nearest neighbours and their distance in Å.
Space group R-3m (No. 166, hexagonal axes)
Inequivalent atoms, fractional coordinates:
1 Pm 0.0000 0.0000 0.2445 x6  8 Hg 3.13-3.37
2 Tm 0.0000 0.0000 0.0000 x3  8 Hg 3.11-3.41
3 Hg 0.0000 0.0000 0.1271 x6  4 Pm 3.13-3.14, 1 Tm 3.41
4 Hg 0.0000 0.0000 0.3703 x6  3 Tm 3.11, 4 Pm 3.26-3.37

Which one is most stable, and which one is least stable? entry Q is the most stable of them, while entry P is the least stable.